Below is a geometry-optimized AsPd2 structure, with properties calculated at the PBE level.

Properties
- formation energy (eV per atom) = -0.356
- space group = P-62m, No. 189
- magnetic moment (μB per atom) = 0.000

The structure in POSCAR format:
```
AsPd2
1.0
-6.164 -0.200 2.604
4.526 -4.610 1.754
1.117 2.167 2.811
As Pd
3 6
Cartesian
0.963 -3.140 2.037 As
-2.600 -1.670 2.321 As
0.559 1.083 1.406 As
3.334 -3.396 1.292 Pd
-0.431 -1.266 1.147 Pd
-4.541 -0.148 1.918 Pd
2.349 -0.740 2.099 Pd
-0.431 -1.824 4.040 Pd
-1.879 1.004 2.435 Pd
```



Below is a geometry-optimized AsPd2 structure, with properties calculated at the PBE level.

Properties
- formation energy (eV per atom) = -0.368
- space group = Cmc2_1, No. 36
- magnetic moment (μB per atom) = 0.000

The structure in POSCAR format:
```
AsPd2
1.0
8.727 0.019 0.000
-8.088 3.277 0.000
0.000 0.000 6.686
As Pd
4 8
Cartesian
-4.702 2.621 1.565 As
5.340 0.676 4.908 As
1.294 1.459 4.656 As
-0.656 1.837 1.313 As
3.304 1.070 6.434 Pd
-2.665 2.227 3.091 Pd
-1.096 1.923 5.513 Pd
1.735 1.374 2.170 Pd
-5.271 2.731 4.088 Pd
5.909 0.565 0.745 Pd
8.047 0.151 3.246 Pd
-7.408 3.146 6.588 Pd
```



Below is a geometry-optimized As3Pd2 structure, with properties calculated at the PBE level.

Properties
- formation energy (eV per atom) = -0.171
- space group = R-3c, No. 167
- magnetic moment (μB per atom) = 0.000

The structure in POSCAR format:
```
As3Pd2
1.0
-6.026 1.627 2.361
-5.351 -3.576 -1.763
-3.065 -3.684 4.146
As Pd
6 4
Cartesian
-6.742 -5.329 1.956 As
-9.112 -3.076 4.125 As
-5.264 -2.321 3.996 As
-5.330 -2.558 0.620 As
-9.179 -3.313 0.748 As
-7.700 -0.305 2.789 As
-11.045 -3.338 2.404 Pd
-6.888 -4.205 4.178 Pd
-3.398 -2.296 2.341 Pd
-7.554 -1.429 0.567 Pd
```



Below is a geometry-optimized AsPd2 structure, with properties calculated at the PBE level.

Properties
- formation energy (eV per atom) = -0.318
- space group = Amm2, No. 38
- magnetic moment (μB per atom) = 0.000

The structure in POSCAR format:
```
AsPd2
1.0
-2.976 -1.307 2.123
-1.443 -0.861 -2.553
3.280 -3.040 -0.829
As Pd
1 2
Cartesian
1.501 -2.787 0.091 As
-0.682 -2.008 1.063 Pd
-0.306 -4.699 -0.073 Pd
```



Below is a geometry-optimized AsPd3 structure, with properties calculated at the PBE level.

Properties
- formation energy (eV per atom) = -0.190
- space group = I4/mmm, No. 139
- magnetic moment (μB per atom) = 0.000

The structure in POSCAR format:
```
AsPd3
1.0
4.043 0.000 0.000
0.000 4.043 0.000
-2.022 -2.022 3.826
As Pd
1 3
Cartesian
0.000 0.000 0.000 As
2.022 0.000 1.913 Pd
0.000 2.022 1.913 Pd
2.022 2.022 0.000 Pd
```



Below is a geometry-optimized AsPd5 structure, with properties calculated at the PBE level.

Properties
- formation energy (eV per atom) = -0.159
- space group = Cmmm, No. 65
- magnetic moment (μB per atom) = 0.000

The structure in POSCAR format:
```
AsPd5
1.0
-3.436 1.319 1.714
0.744 -2.362 3.309
2.396 5.342 0.693
As Pd
1 5
Cartesian
0.000 0.000 0.000 As
0.528 2.296 4.102 Pd
1.271 0.170 2.417 Pd
-1.346 -0.522 2.512 Pd
1.870 2.810 1.586 Pd
-0.824 2.003 1.615 Pd
```



Below is a geometry-optimized As4Pd structure, with properties calculated at the PBE level.

Properties
- formation energy (eV per atom) = 0.693
- space group = Pm-3m, No. 221
- energy above the lowest structure with this stoichiometry (kJ/mol of formula units) = 413
- magnetic moment (μB per atom) = 0.000

The structure in POSCAR format:
```
As4Pd
1.0
-3.040 -3.730 -0.709
3.771 -2.860 -1.123
0.444 -1.252 4.680
As Pd
4 1
Cartesian
0.000 0.000 0.000 As
-1.298 -2.491 1.985 As
2.107 -2.056 1.779 As
0.365 -3.295 -0.916 As
0.587 -3.921 1.424 Pd
```



Below is a geometry-optimized AsPd3 structure, with properties calculated at the PBE level.

Properties
- formation energy (eV per atom) = -0.338
- space group = P4_2/n, No. 86
- magnetic moment (μB per atom) = 0.000

The structure in POSCAR format:
```
AsPd3
1.0
-2.758 2.741 2.982
-8.361 -3.276 -4.722
-0.647 -7.746 6.520
As Pd
8 24
Cartesian
-9.308 -7.854 4.828 As
-3.961 1.066 1.577 As
-5.488 -3.241 0.096 As
-5.022 -6.288 3.326 As
-8.341 -4.568 2.342 As
-4.680 -2.466 3.796 As
-8.755 -4.175 -2.428 As
-1.508 -5.599 5.583 As
-5.590 -4.548 7.032 Pd
-8.915 -1.013 0.709 Pd
-7.533 -6.870 3.343 Pd
-4.213 -1.431 1.416 Pd
-3.699 -4.599 4.860 Pd
-8.087 -3.663 -0.059 Pd
-7.357 -8.293 0.844 Pd
-1.670 -2.710 0.974 Pd
-5.226 -7.081 5.685 Pd
-6.530 -1.210 -0.916 Pd
-8.129 -6.032 6.062 Pd
-6.386 0.481 1.690 Pd
-1.304 -4.806 3.225 Pd
-7.714 -6.206 -1.417 Pd
-9.520 -6.390 1.108 Pd
-2.256 -1.881 3.683 Pd
-2.804 -4.787 7.662 Pd
-10.216 -2.249 -1.526 Pd
-6.294 -5.558 1.117 Pd
-3.968 -4.218 2.037 Pd
-6.485 -4.360 4.231 Pd
-6.786 -2.427 2.176 Pd
-8.597 -9.605 3.071 Pd
-1.915 0.077 0.353 Pd
```